# PBE Zr2TiRhO, optimized geometry
# Fermi-level density of states   5.0 states/eV/cell
# Total energy   -43.7 eV/cell
# E above lowest polymorph   0 meV/atom
# Formation energy (no corrections)   -1278 meV per atom
data_Zr2TiRhO
_chemical_formula_sum 'Zr2 Ti1 Rh1 O1'
_cell_length_a 4.483
_cell_length_b 4.483
_cell_length_c 3.993
_cell_angle_alpha 90.00
_cell_angle_beta 90.00
_cell_angle_gamma 90.00
_space_group_name_H-M_alt 'P 4/m m m'
_space_group_IT_number 123
_space_group_name_Hall '-P 4 2'
loop_
_atom_site_label
_atom_site_fract_x
_atom_site_fract_y
_atom_site_fract_z
Zr1 0.000 0.500 0.000
Ti1 0.000 0.000 0.500
Rh1 0.500 0.500 0.500
O1 0.000 0.000 0.000